Entry 1:
Entry from the Alexandria database: crystalline Pm2TmHfSb4 at its relaxed geometry (PBE).

Values from the calculation:
final energy: -6.0101 eV per atom
D(E_F): 1.41 states/eV/cell
energy relative to the elements, uncorrected: -0.958 eV/atom
total moment: 0.0 μB/f.u.

Unit cell a=7.5257 b=4.3449 c=7.5327 alpha=90.00 beta=109.32 gamma=90.00
With the nearest neighbours (Å) after each atom.
Positions (direct):
Pm  0.0000  0.0000  0.0000  6 Sb 3.18
Pm  0.5000  0.5000  0.0000  6 Sb 3.12
Tm  0.0000  0.5000  0.5000  6 Sb 3.03
Hf  0.5000  0.0000  0.5000  6 Sb 2.96-2.97
Sb  0.2517  0.0000  0.7338  1 Hf 2.96, 2 Tm 3.03, 3 Pm 3.12-3.18
Sb  0.2636  0.5000  0.2707  2 Hf 2.97, 1 Tm 3.03, 3 Pm 3.12-3.18
Sb  0.7363  0.5000  0.7293  2 Hf 2.97, 1 Tm 3.03, 3 Pm 3.12-3.18
Sb  0.7483  0.0000  0.2662  1 Hf 2.96, 2 Tm 3.03, 3 Pm 3.12-3.18

=====

Entry 2:
Entry from the Alexandria database: crystalline KCaIO2 at its relaxed geometry (PBE).

Values from the calculation:
excess energy over the best structure of this formula in the dataset: 673 meV per atom
final energy: -3.2509 eV per atom
D(E_F): 3.84 states/eV/cell
energy relative to the elements, uncorrected: -0.338 eV/atom
total moment: 2.0 μB/f.u.

Unit cell a=4.7483 b=4.7483 c=6.1234 alpha=90.00 beta=90.00 gamma=90.00
With the nearest neighbours (Å) after each atom.
Positions (direct):
K  0.0000  0.0000  0.0000  4 O 2.37
Ca  0.5000  0.5000  0.5000  4 I 3.36
I  0.0000  0.0000  0.5000  2 K 3.06, 4 Ca 3.36
O  0.0000  0.5000  0.0000  2 K 2.37
O  0.5000  0.0000  0.0000  2 K 2.37

=====

Entry 3:
Entry from the Alexandria database: crystalline ScHg2Os at its relaxed geometry (PBE).

Values from the calculation:
excess energy over the best structure of this formula in the dataset: 7 meV per atom
final energy: -4.4454 eV per atom
D(E_F): 1.92 states/eV/cell
total moment: 0.0 μB/f.u.

Unit cell a=3.2309 b=3.2762 c=7.6073 alpha=90.00 beta=90.19 gamma=90.00
With the nearest neighbours (Å) after each atom.
Positions (direct):
Sc  0.0000  0.0000  0.0000  4 Os 2.70-2.71
Hg  0.5011  0.5000  0.2866  4 Sc 3.17, 8 Hg 3.18-3.28
Hg  0.9980  0.0000  0.5765  4 Os 2.92, 6 Hg 3.18-3.23, 1 Sc 3.22
Os  0.4978  0.5000  0.8131  4 Sc 2.70-2.71, 4 Hg 2.92

=====

Entry 4:
Entry from the Alexandria database: crystalline FePd2W at its relaxed geometry (PBE).

Values from the calculation:
excess energy over the best structure of this formula in the dataset: 321 meV per atom
final energy: -7.4221 eV per atom
D(E_F): 17.47 states/eV/cell
total moment: 0.0 μB/f.u.

Unit cell a=3.6554 b=3.6554 c=18.1770 alpha=90.00 beta=90.00 gamma=90.00
With the nearest neighbours (Å) after each atom.
Positions (direct):
Fe  0.0000  0.0000  0.0000  4 W 2.58, 4 Pd 2.60
Fe  0.0000  0.5000  0.2500  4 W 2.58, 4 Pd 2.60
Fe  0.5000  0.0000  0.7500  4 W 2.58, 4 Pd 2.60
Fe  0.5000  0.5000  0.5000  4 W 2.58, 4 Pd 2.60
Pd  0.2422  0.2500  0.1250  4 Pd 2.54-2.63, 2 Fe 2.60, 2 W 2.62
Pd  0.2500  0.7422  0.3750  4 Pd 2.54-2.63, 2 Fe 2.60, 2 W 2.62
Pd  0.2500  0.7578  0.8750  4 Pd 2.54-2.63, 2 Fe 2.60, 2 W 2.62
Pd  0.2578  0.2500  0.6250  4 Pd 2.54-2.63, 2 Fe 2.60, 2 W 2.62
Pd  0.7422  0.7500  0.6250  4 Pd 2.54-2.63, 2 Fe 2.60, 2 W 2.62
Pd  0.7500  0.2422  0.8750  4 Pd 2.54-2.63, 2 Fe 2.60, 2 W 2.62
Pd  0.7500  0.2578  0.3750  4 Pd 2.54-2.63, 2 Fe 2.60, 2 W 2.62
Pd  0.7578  0.7500  0.1250  4 Pd 2.54-2.63, 2 Fe 2.60, 2 W 2.62
W  0.0000  0.0000  0.5000  4 Fe 2.58, 4 Pd 2.62
W  0.0000  0.5000  0.7500  4 Fe 2.58, 4 Pd 2.62
W  0.5000  0.0000  0.2500  4 Fe 2.58, 4 Pd 2.62
W  0.5000  0.5000  0.0000  4 Fe 2.58, 4 Pd 2.62

=====

Entry 5:
Entry from the Alexandria database: crystalline Pr2TmZn2Ga2 at its relaxed geometry (PBE).

Values from the calculation:
final energy: -3.6368 eV per atom
D(E_F): 4.96 states/eV/cell
total moment: 0.0 μB/f.u.

Unit cell a=10.0638 b=10.0638 c=10.0638 alpha=25.49 beta=25.49 gamma=25.49
With the nearest neighbours (Å) after each atom.
Positions (direct):
Pr  0.1229  0.1229  0.1229  3 Ga 3.15, 3 Zn 3.26
Pr  0.8771  0.8771  0.8771  3 Ga 3.15, 3 Zn 3.26
Tm  0.0000  0.0000  0.0000  6 Zn 3.01, 6 Ga 3.10
Zn  0.3873  0.3873  0.3873  3 Ga 2.57
Zn  0.6127  0.6127  0.6127  3 Ga 2.57
Ga  0.2734  0.2734  0.2734  3 Zn 2.57
Ga  0.7266  0.7266  0.7266  3 Zn 2.57

=====

Entry 6:
Entry from the Alexandria database: crystalline ReSiIrI2 at its relaxed geometry (PBE).

Values from the calculation:
final energy: -4.3420 eV per atom
D(E_F): 4.16 states/eV/cell
energy relative to the elements, uncorrected: 1.624 eV/atom
total moment: 1.7 μB/f.u.

Unit cell a=5.4209 b=5.4209 c=4.8303 alpha=90.00 beta=90.00 gamma=90.00
With the nearest neighbours (Å) after each atom.
Positions (direct):
Re  0.0000  0.0000  0.0000  2 Ir 2.42
Si  0.5000  0.5000  0.0000  8 I 3.63, 4 Re 3.83
Ir  0.0000  0.0000  0.5000  2 Re 2.42
I  0.0000  0.5000  0.5000  2 Ir 2.71
I  0.5000  0.0000  0.5000  2 Ir 2.71

=====

Entry 7:
Entry from the Alexandria database: crystalline Cr2HgRh2 at its relaxed geometry (PBE).

Values from the calculation:
excess energy over the best structure of this formula in the dataset: 24 meV per atom
final energy: -6.6425 eV per atom
D(E_F): 8.73 states/eV/cell
total moment: 0.0 μB/f.u.

Unit cell a=7.4092 b=7.4092 c=2.6986 alpha=90.00 beta=90.00 gamma=90.00
With the nearest neighbours (Å) after each atom.
Positions (direct):
Cr  0.1642  0.3358  0.0000  6 Rh 2.56, 2 Cr 2.70
Cr  0.3358  0.8358  0.0000  6 Rh 2.56, 2 Cr 2.70
Cr  0.6642  0.1642  0.0000  6 Rh 2.56, 2 Cr 2.70
Cr  0.8358  0.6642  0.0000  6 Rh 2.56, 2 Cr 2.70
Hg  0.0000  0.0000  0.5000  2 Hg 2.70, 4 Rh 2.92
Hg  0.5000  0.5000  0.5000  2 Hg 2.70, 4 Rh 2.92
Rh  0.1278  0.6278  0.5000  6 Cr 2.56, 3 Rh 2.68-2.70
Rh  0.3722  0.1278  0.5000  6 Cr 2.56, 3 Rh 2.68-2.70
Rh  0.6278  0.8722  0.5000  6 Cr 2.56, 3 Rh 2.68-2.70
Rh  0.8722  0.3722  0.5000  6 Cr 2.56, 3 Rh 2.68-2.70

=====

Entry 8:
Entry from the Alexandria database: crystalline Tb3Pu2S4 at its relaxed geometry (PBE).

Values from the calculation:
final energy: -8.1941 eV per atom
D(E_F): 15.87 states/eV/cell
energy relative to the elements, uncorrected: -1.631 eV/atom
total moment: 12.2 μB/f.u.

Unit cell a=6.7804 b=6.7804 c=9.6079 alpha=117.94 beta=117.94 gamma=33.08
With the nearest neighbours (Å) after each atom.
Positions (direct):
Tb  0.0000  0.0000  0.0000  6 S 2.76-2.77
Tb  0.2033  0.2033  0.7986  5 S 2.73-2.77
Tb  0.7967  0.7967  0.2014  5 S 2.73-2.77
Pu  0.4044  0.4044  0.5941  4 S 2.77-2.83
Pu  0.5956  0.5956  0.4059  4 S 2.77-2.83
S  0.1959  0.1959  0.3024  3 Tb 2.76-2.77, 3 Pu 2.77-2.79
S  0.3963  0.3963  0.0966  5 Tb 2.73-2.77, 1 Pu 2.83
S  0.6037  0.6037  0.9034  5 Tb 2.73-2.77, 1 Pu 2.83
S  0.8041  0.8041  0.6976  3 Tb 2.76-2.77, 3 Pu 2.77-2.79

=====

Entry 9:
Entry from the Alexandria database: crystalline InSnI2N at its relaxed geometry (PBE).

Values from the calculation:
excess energy over the best structure of this formula in the dataset: 0 meV per atom
final energy: -3.3398 eV per atom
D(E_F): 2.47 states/eV/cell
energy relative to the elements, uncorrected: 0.294 eV/atom
total moment: 0.0 μB/f.u.

Unit cell a=6.2712 b=6.2712 c=3.9510 alpha=90.00 beta=90.00 gamma=90.00
With the nearest neighbours (Å) after each atom.
Positions (direct):
In  0.0000  0.0000  0.0000  8 I 3.71, 2 In 3.95
Sn  0.5000  0.5000  0.5000  2 N 1.98
I  0.0000  0.5000  0.5000  2 Sn 3.14
I  0.5000  0.0000  0.5000  2 Sn 3.14
N  0.5000  0.5000  0.0000  2 Sn 1.98

=====

Entry 10:
Entry from the Alexandria database: crystalline AlIn2SiTe at its relaxed geometry (PBE).

Values from the calculation:
final energy: -3.1922 eV per atom
D(E_F): 2.16 states/eV/cell
energy relative to the elements, uncorrected: 0.365 eV/atom
total moment: 0.0 μB/f.u.

Unit cell a=5.4034 b=5.4034 c=4.7763 alpha=90.00 beta=90.00 gamma=90.00
With the nearest neighbours (Å) after each atom.
Positions (direct):
Al  0.0000  0.0000  0.0000  2 Si 2.39
In  0.0000  0.5000  0.0000  2 Al 2.70
In  0.5000  0.0000  0.0000  2 Al 2.70
Si  0.0000  0.0000  0.5000  2 Al 2.39
Te  0.5000  0.5000  0.5000  8 In 3.61, 4 Si 3.82